HfI2NCl | PBE | relaxed

- total moment (μB/f.u.) = 1.747
- relative energy among the computed polymorphs (eV per atom) = 0.000
- uncorrected formation energy (eV per formula unit) = -0.42
- calculated volume (Å³/cell) = 138
- crystal system = tetragonal
- uncorrected energy (eV per atom) = -4.73

Geometry as POSCAR:
```
HfI2NCl
1.0
5.8296 0.0000 0.0000
0.0000 5.8296 0.0000
0.0000 0.0000 4.0588
Hf I N Cl
1 2 1 1
Direct
0.0000 0.0000 0.0000
0.0000 0.5000 0.0000
0.5000 0.0000 0.0000
0.0000 0.0000 0.5000
0.5000 0.5000 0.5000
```

=====

Rb2LiCdI6 | PBE | relaxed

- total moment (μB/f.u.) = 0.000
- uncorrected formation energy (eV per formula unit) = -9.37
- calculated volume (Å³/cell) = 416
- crystal system = triclinic
- uncorrected energy (eV per atom) = -2.34

Geometry as POSCAR:
```
Rb2LiCdI6
1.0
7.4358 0.0000 0.0000
-3.7159 7.4103 0.0000
-3.7177 -2.4739 7.5568
Rb Li Cd I
2 1 1 6
Direct
0.0000 0.0000 0.0000
0.0014 0.5274 0.4756
0.4889 0.8003 0.1754
0.5136 0.2789 0.7467
0.0196 0.4789 0.0474
0.4132 0.9453 0.8810
0.4948 0.0424 0.4370
0.5064 0.4784 0.0471
0.5874 0.5799 0.5951
0.9852 0.0424 0.4370
```

=====

TmPuN | PBE | relaxed

- total moment (μB/f.u.) = 6.617
- relative energy among the computed polymorphs (eV per atom) = 0.000
- uncorrected formation energy (eV per formula unit) = -2.01
- calculated volume (Å³/cell) = 67
- crystal system = tetragonal
- uncorrected energy (eV per atom) = -9.71

Geometry as POSCAR:
```
TmPuN
1.0
-1.6172 1.6172 6.4065
1.6172 -1.6172 6.4065
1.6172 1.6172 -6.4065
Tm Pu N
1 1 1
Direct
0.0000 0.0000 0.0000
0.2871 0.2871 0.0000
0.4618 0.4618 0.0000
```

=====

Dy2BiPt9 | PBE | relaxed

- total moment (μB/f.u.) = 0.000
- energy relative to the elements (meV per atom) = -712
- calculated volume (Å³/cell) = 212
- crystal system = tetragonal
- uncorrected energy (eV per atom) = -6.33

Geometry as POSCAR:
```
Dy2BiPt9
1.0
4.1265 0.0000 0.0000
0.0000 4.1265 0.0000
0.0000 0.0000 12.4489
Dy Bi Pt
2 1 9
Direct
0.0000 0.0000 0.1624
0.0000 0.0000 0.8376
0.0000 0.0000 0.5000
0.0000 0.5000 0.0000
0.0000 0.5000 0.3300
0.0000 0.5000 0.6700
0.5000 0.0000 0.0000
0.5000 0.0000 0.3300
0.5000 0.0000 0.6700
0.5000 0.5000 0.1674
0.5000 0.5000 0.5000
0.5000 0.5000 0.8326
```

=====

Ta2FeRh | PBE | relaxed

- total moment (μB/f.u.) = 0.931
- energy relative to the elements (meV per atom) = -198
- calculated volume (Å³/cell) = 61
- crystal system = tetragonal
- uncorrected energy (eV per atom) = -10.08

Geometry as POSCAR:
```
Ta2FeRh
1.0
4.1214 0.0000 0.0000
0.0000 4.1214 0.0000
0.0000 0.0000 3.6041
Ta Fe Rh
2 1 1
Direct
0.0000 0.5000 0.0000
0.5000 0.0000 0.0000
0.0000 0.0000 0.5000
0.5000 0.5000 0.5000
```

=====

Ce2PaHg | PBE | relaxed

- total moment (μB/f.u.) = 0.072
- relative energy among the computed polymorphs (eV per atom) = 0.000
- energy relative to the elements (meV per atom) = -98
- calculated volume (Å³/cell) = 101
- crystal system = tetragonal
- uncorrected energy (eV per atom) = -5.51

Geometry as POSCAR:
```
Ce2PaHg
1.0
3.1863 0.0000 0.0000
0.0000 3.1863 0.0000
0.0000 0.0000 9.9739
Ce Pa Hg
2 1 1
Direct
0.0000 0.0000 0.2490
0.0000 0.0000 0.7510
0.5000 0.5000 0.0000
0.5000 0.5000 0.5000
```

=====

Ca3Ni6Ge2 | PBE | relaxed

- total moment (μB/f.u.) = 0.000
- energy relative to the elements (meV per atom) = -360
- calculated volume (Å³/cell) = 358
- crystal system = cubic
- uncorrected energy (eV per atom) = -4.90

Geometry as POSCAR:
```
Ca3Ni6Ge2
1.0
-4.4728 4.4728 4.4728
4.4728 -4.4728 4.4728
4.4728 4.4728 -4.4728
Ca Ni Ge
6 12 4
Direct
0.0000 0.2926 0.2926
0.0000 0.7074 0.7074
0.2926 0.0000 0.2926
0.2926 0.2926 0.0000
0.7074 0.0000 0.7074
0.7074 0.7074 0.0000
0.0000 0.3287 0.6713
0.0000 0.6713 0.3287
0.3287 0.0000 0.6713
0.3287 0.3287 0.6574
0.3287 0.6574 0.3287
0.3287 0.6713 0.0000
0.3426 0.6713 0.6713
0.6574 0.3287 0.3287
0.6713 0.0000 0.3287
0.6713 0.3287 0.0000
0.6713 0.3426 0.6713
0.6713 0.6713 0.3426
0.0000 0.0000 0.5000
0.0000 0.5000 0.0000
0.5000 0.0000 0.0000
0.5000 0.5000 0.5000
```

=====

MgNi3S | PBE | relaxed

- total moment (μB/f.u.) = 0.000
- relative energy among the computed polymorphs (eV per atom) = 0.000
- uncorrected formation energy (eV per formula unit) = -0.96
- calculated volume (Å³/cell) = 72
- crystal system = cubic
- uncorrected energy (eV per atom) = -4.81

Geometry as POSCAR:
```
MgNi3S
1.0
4.1591 0.0000 0.0000
0.0000 4.1591 0.0000
0.0000 0.0000 4.1591
Mg Ni S
1 3 1
Direct
0.0000 0.0000 0.0000
0.0000 0.5000 0.5000
0.5000 0.0000 0.5000
0.5000 0.5000 0.0000
0.5000 0.5000 0.5000
```